1.
## TlTeW2 (PBE)

Data for crystalline TlTeW2 at its relaxed geometry.

Calculated values
Total magnetization, μB per formula unit: 0.0
Formation energy from raw total energies, eV per atom: 1.074
DOS at the Fermi energy, states/eV/f.u.: 3.68
VASP energy, eV/atom: -6.78

abc: 4.8615 3.1308 5.5329
angles: 90.00 113.01 90.00
Space group P2/m (No. 10)
Symmetry-distinct sites (fractional):
1 Tl 0.0000 0.0000 0.0000
2 Te 0.0000 0.5000 0.5000
3 W 0.5000 0.0000 0.5000
4 W 0.5000 0.5000 0.0000

---

2.
## Tl2TeW (PBE)

Data for crystalline Tl2TeW at its relaxed geometry.

Calculated values
Total magnetization, μB per formula unit: 0.0
Formation energy from raw total energies, eV per atom: 0.810
DOS at the Fermi energy, states/eV/f.u.: 4.57
VASP energy, eV/atom: -4.40

abc: 2.9290 2.9290 13.0835
angles: 90.00 90.00 90.00
Space group P4/mmm (No. 123)
Symmetry-distinct sites (fractional):
1 Tl 0.0000 0.0000 0.1935
2 Te 0.5000 0.5000 0.5000
3 W 0.5000 0.5000 0.0000

---

3.
## Tl2TeW (PBE)

Data for crystalline Tl2TeW at its relaxed geometry.

Calculated values
Total magnetization, μB per formula unit: 0.0
Formation energy from raw total energies, eV per atom: 0.833
DOS at the Fermi energy, states/eV/f.u.: 4.64
VASP energy, eV/atom: -4.37

abc: 3.6503 4.8513 11.1684
angles: 90.00 90.00 90.00
Space group Cmmm (No. 65)
Symmetry-distinct sites (fractional):
1 Tl 0.0000 0.0000 0.2171
2 Te 0.0000 0.5000 0.5000
3 W 0.0000 0.5000 0.0000

---

4.
## Tl2TeW (PBE)

Data for crystalline Tl2TeW at its relaxed geometry.

Calculated values
Total magnetization, μB per formula unit: 0.0
Formation energy from raw total energies, eV per atom: 0.598
DOS at the Fermi energy, states/eV/f.u.: 3.76
VASP energy, eV/atom: -4.61

abc: 3.4780 5.4303 10.9526
angles: 90.00 90.00 90.00
Space group Cmm2 (No. 35)
Symmetry-distinct sites (fractional):
1 Tl 0.0000 0.0000 0.0000
2 Tl 0.0000 0.5000 0.2660
3 Te 0.0000 0.0000 0.5918
4 W 0.0000 0.5000 0.7783

---

5.
## Tl2TeW (PBE)

Data for crystalline Tl2TeW at its relaxed geometry.

Calculated values
Total magnetization, μB per formula unit: 0.0
Formation energy from raw total energies, eV per atom: 0.814
DOS at the Fermi energy, states/eV/f.u.: 4.37
VASP energy, eV/atom: -4.39

abc: 3.1019 3.1019 36.4185
angles: 90.00 90.00 120.00
Space group R-3m (No. 166, hexagonal axes)
Symmetry-distinct sites (fractional):
1 Tl 0.0000 0.0000 0.2370
2 Te 0.0000 0.0000 0.0000
3 W 0.0000 0.0000 0.5000

---

6.
## TlTeW2 (PBE)

Data for crystalline TlTeW2 at its relaxed geometry.

Calculated values
Total magnetization, μB per formula unit: 0.0
Formation energy from raw total energies, eV per atom: 1.105
DOS at the Fermi energy, states/eV/f.u.: 3.61
VASP energy, eV/atom: -6.75

abc: 4.7419 4.7419 3.3433
angles: 90.00 90.00 90.00
Space group P4/mmm (No. 123)
Symmetry-distinct sites (fractional):
1 Tl 0.0000 0.0000 0.0000
2 Te 0.5000 0.5000 0.0000
3 W 0.0000 0.5000 0.5000

---

7.
## TlTeW2 (PBE)

Data for crystalline TlTeW2 at its relaxed geometry.

Calculated values
Total magnetization, μB per formula unit: 0.0
Formation energy from raw total energies, eV per atom: 0.535
DOS at the Fermi energy, states/eV/f.u.: 2.96
VASP energy, eV/atom: -7.32

abc: 3.3443 3.3443 28.1369
angles: 90.00 90.00 120.00
Space group R3m (No. 160, hexagonal axes)
Symmetry-distinct sites (fractional):
1 Tl 0.0000 0.0000 0.0000
2 Te 0.0000 0.0000 0.7764
3 W 0.0000 0.0000 0.2453
4 W 0.0000 0.0000 0.5190

---

8.
## TlTeW2 (PBE)

Data for crystalline TlTeW2 at its relaxed geometry.

Calculated values
Total magnetization, μB per formula unit: 0.0
Formation energy from raw total energies, eV per atom: 0.611
DOS at the Fermi energy, states/eV/f.u.: 2.91
VASP energy, eV/atom: -7.24

abc: 3.3558 5.0412 10.5545
angles: 90.00 90.00 90.00
Space group Cmm2 (No. 35)
Symmetry-distinct sites (fractional):
1 Tl 0.0000 0.0000 0.0000
2 Te 0.0000 0.5000 0.6637
3 W 0.0000 0.0000 0.4369
4 W 0.0000 0.5000 0.2543